1.
Here is crystalline Rb2RuF at its relaxed geometry from Alexandria. Energies are from PBE.

```
Rb2RuF
1.0
8.158 0.000 0.000
0.000 8.158 0.000
4.079 4.079 4.555
F Rb Ru
2 4 2
Cartesian
4.079 4.079 0.000 F
4.079 8.158 2.278 F
10.198 9.431 3.416 Rb
2.807 6.119 1.139 Rb
6.119 6.886 3.416 Rb
5.352 2.040 1.139 Rb
8.158 4.079 2.278 Ru
0.000 0.000 0.000 Ru
```

Properties
- D(E_F): 9.27 states/eV per cell
- Offset from the most stable computed form: 0.000 eV/atom
- Uncorrected formation energy: -0.08 eV/atom
- Magnetic moment: 6.000 Bohr magnetons per cell

=====

2.
Here is crystalline NaPrY2Se4 at its relaxed geometry from Alexandria. Energies are from PBE.

```
NaPrY2Se4
1.0
4.126 0.000 0.000
0.000 7.218 0.154
0.000 -2.499 6.824
Pr Se Y Na
1 4 2 1
Cartesian
0.000 0.000 0.000 Pr
0.000 -0.055 5.075 Se
0.000 4.774 1.903 Se
2.063 1.214 1.823 Se
2.063 3.505 5.156 Se
2.063 -1.249 3.412 Y
0.000 2.359 3.489 Y
2.063 3.609 0.077 Na
```

Properties
- D(E_F): 2.68 states/eV per cell
- Uncorrected formation energy: -1.76 eV/atom
- Magnetic moment: 0.000 Bohr magnetons per cell

=====

3.
Here is crystalline BeTlRu2 at its relaxed geometry from Alexandria. Energies are from PBE.

```
BeTlRu2
1.0
4.000 0.000 0.000
0.000 4.000 0.000
2.000 2.000 8.711
Tl Ru Be
2 4 2
Cartesian
4.000 2.000 4.356 Tl
0.000 0.000 0.000 Tl
3.000 4.623 6.534 Ru
5.000 3.377 6.534 Ru
1.377 1.000 2.178 Ru
2.623 3.000 2.178 Ru
2.000 4.000 4.356 Be
2.000 2.000 0.000 Be
```

Properties
- D(E_F): 7.29 states/eV per cell
- Offset from the most stable computed form: 0.420 eV/atom
- Magnetic moment: 0.000 Bohr magnetons per cell
- Energy of formation from the pure elements: 0.694 eV/atom

=====

4.
Here is crystalline Mg2PI at its relaxed geometry from Alexandria. Energies are from PBE.

```
Mg2PI
1.0
-2.656 3.614 -4.417
-5.669 -1.113 2.498
-3.517 6.228 2.725
Mg P I
4 2 2
Cartesian
-3.036 3.388 -1.414 Mg
-4.967 1.602 1.337 Mg
-9.469 6.948 0.165 Mg
-6.212 5.520 1.523 Mg
-6.674 3.183 2.132 P
-4.163 1.250 -0.959 P
-5.168 5.546 -1.326 I
0.000 0.000 0.000 I
```

Properties
- D(E_F): 0.00 states/eV per cell
- Uncorrected formation energy: -0.68 eV/atom
- Magnetic moment: 0.000 Bohr magnetons per cell

=====

5.
Here is crystalline Mn2Cu2Ag at its relaxed geometry from Alexandria. Energies are from PBE.

```
Mn2Cu2Ag
1.0
7.080 0.000 0.000
0.000 7.080 0.000
0.000 0.000 2.901
Mn Cu Ag
4 4 2
Cartesian
4.722 5.897 1.450 Mn
1.182 4.722 1.450 Mn
2.357 1.182 1.450 Mn
5.897 2.357 1.450 Mn
4.441 0.901 0.000 Cu
2.639 6.179 0.000 Cu
6.179 4.441 0.000 Cu
0.901 2.639 0.000 Cu
3.540 3.540 0.000 Ag
0.000 0.000 0.000 Ag
```

Properties
- D(E_F): 6.13 states/eV per cell
- Magnetic moment: 15.729 Bohr magnetons per cell
- Energy of formation from the pure elements: 0.235 eV/atom

=====

6.
Here is crystalline AcSbAuS at its relaxed geometry from Alexandria. Energies are from PBE.

```
AcSbAuS
1.0
-3.505 -3.231 0.139
0.179 -3.579 3.148
-6.893 4.343 8.944
Sb Ac S Au
2 2 2 2
Cartesian
-1.782 -1.501 2.008 Sb
-8.438 -0.966 10.222 Sb
-4.981 2.156 6.349 Ac
-5.239 -4.624 5.882 Ac
-6.737 -2.911 7.914 S
-3.483 0.444 4.316 S
-2.992 -3.655 3.241 Au
-7.228 1.188 8.989 Au
```

Properties
- D(E_F): 1.60 states/eV per cell
- Uncorrected formation energy: -1.12 eV/atom
- Magnetic moment: 0.000 Bohr magnetons per cell

=====

7.
Here is crystalline K3Pt at its relaxed geometry from Alexandria. Energies are from PBE.

```
K3Pt
1.0
-4.530 -3.567 -2.015
5.299 -1.034 -2.857
0.529 -0.028 6.085
Pt K
1 3
Cartesian
-2.001 -1.798 2.035 Pt
0.000 0.000 0.000 K
2.914 -0.531 1.614 K
0.384 -2.301 -2.436 K
```

Properties
- D(E_F): 2.31 states/eV per cell
- Magnetic moment: 0.000 Bohr magnetons per cell
- Energy of formation from the pure elements: 0.285 eV/atom

=====

8.
Here is crystalline LaTbSn2 at its relaxed geometry from Alexandria. Energies are from PBE.

```
LaTbSn2
1.0
4.381 0.000 0.000
0.000 6.318 0.000
0.000 0.000 8.688
Sn Tb La
4 2 2
Cartesian
0.000 3.770 4.709 Sn
2.190 5.698 3.984 Sn
2.190 0.620 8.328 Sn
0.000 2.549 0.365 Sn
2.190 3.961 7.099 Tb
2.190 2.357 2.754 Tb
0.000 0.820 5.929 La
0.000 5.498 1.585 La
```

Properties
- D(E_F): 5.95 states/eV per cell
- Magnetic moment: 0.000 Bohr magnetons per cell
- Energy of formation from the pure elements: -0.749 eV/atom

=====

9.
Here is crystalline Ca2MnNi at its relaxed geometry from Alexandria. Energies are from PBE.

```
Ca2MnNi
1.0
-7.951 -1.980 -4.001
-5.632 -4.046 -5.921
-6.937 -5.250 -2.731
Ni Mn Ca
1 1 2
Cartesian
-15.391 -8.457 -9.490 Ni
-5.130 -2.819 -3.163 Mn
-9.941 -5.463 -6.130 Ca
-0.319 -0.175 -0.197 Ca
```

Properties
- D(E_F): 2.81 states/eV per cell
- Magnetic moment: 4.214 Bohr magnetons per cell
- Energy of formation from the pure elements: 0.489 eV/atom

=====

10.
Here is crystalline CeDy5Y4 at its relaxed geometry from Alexandria. Energies are from PBE.

```
CeDy5Y4
1.0
-1.471 2.810 1.853
-6.172 -4.816 2.403
7.370 -3.440 7.424
Ce Y Dy
1 4 5
Cartesian
-0.735 1.405 0.927 Ce
1.409 0.391 4.165 Y
-1.682 -5.838 7.515 Y
-0.562 -2.051 2.664 Y
0.289 -3.395 9.016 Y
3.136 -1.408 8.262 Dy
-1.813 -2.565 6.090 Dy
1.540 -2.881 5.590 Dy
-3.409 -4.039 3.418 Dy
-3.821 -1.003 2.128 Dy
```

Properties
- D(E_F): 20.56 states/eV per cell
- Offset from the most stable computed form: 0.000 eV/atom
- Magnetic moment: 1.442 Bohr magnetons per cell
- Energy of formation from the pure elements: 0.092 eV/atom

=====

11.
Here is crystalline RbCe2Dy2O7 at its relaxed geometry from Alexandria. Energies are from PBE.

```
RbCe2Dy2O7
1.0
4.606 0.000 0.000
0.000 4.606 0.000
-2.303 -2.303 9.847
O Ce Dy Rb
7 2 2 1
Cartesian
0.000 2.303 7.184 O
2.303 0.000 2.663 O
0.000 0.000 5.182 O
0.000 -0.004 9.847 O
2.303 2.303 4.665 O
0.000 2.303 2.663 O
2.303 0.000 7.184 O
2.303 2.303 2.187 Ce
0.000 0.000 7.660 Ce
2.303 0.000 4.924 Dy
0.000 2.303 4.924 Dy
0.000 0.002 0.000 Rb
```

Properties
- D(E_F): 5.67 states/eV per cell
- Uncorrected formation energy: -3.11 eV/atom
- Magnetic moment: 0.762 Bohr magnetons per cell

=====

12.
Here is crystalline PmHfPtAu at its relaxed geometry from Alexandria. Energies are from PBE.

```
PmHfPtAu
1.0
4.948 0.000 0.000
2.474 4.285 0.000
2.474 1.428 4.040
Pm Pt Hf Au
1 1 1 1
Cartesian
7.422 4.285 3.030 Pm
4.948 2.857 2.020 Pt
2.474 1.428 1.010 Hf
0.000 0.000 0.000 Au
```

Properties
- D(E_F): 2.87 states/eV per cell
- Magnetic moment: 0.000 Bohr magnetons per cell
- Energy of formation from the pure elements: -0.695 eV/atom